VASP calculation (PBE) on a geometry-optimized Be2PbN2 structure.

## Properties
ΔE to the lowest computed polymorph ... 1076 meV per atom
Formation energy without anion corrections ... 0.759 eV per atom
Spin magnetization ... 0.00 μB/cell

Cell: 7.0510 7.0510 2.7558 Å, 90.00 90.00 90.00°
Space group P4/mbm (No. 127)
Asymmetric unit:
Be  0.0961  0.4039  0.0000 [4 per cell]
Pb  0.0000  0.0000  0.5000 [2 per cell]
N  0.0807  0.5807  0.5000 [4 per cell]



VASP calculation (PBE) on a geometry-optimized Si2IrSe structure.

## Properties
Formation energy without anion corrections ... 0.539 eV per atom
Spin magnetization ... 0.00 μB/cell

Cell: 3.6967 3.6967 4.7151 Å, 90.00 90.00 90.00°
Space group P4/mmm (No. 123)
Asymmetric unit:
Si  0.0000  0.5000  0.0000 [2 per cell]
Ir  0.0000  0.0000  0.5000 [1 per cell]
Se  0.5000  0.5000  0.5000 [1 per cell]



VASP calculation (PBE) on a geometry-optimized CeSbS2Br2 structure.

## Properties
Formation energy without anion corrections ... -1.194 eV per atom
Spin magnetization ... 0.18 μB/cell

Cell: 8.6626 9.3107 18.1945 Å, 90.00 103.58 90.00°
Space group P2_1/c (No. 14)
Asymmetric unit:
Ce  0.1138  0.1354  0.2373 [4 per cell]
Ce  0.3782  0.6307  0.2558 [4 per cell]
Sb  0.2213  0.6576  0.9370 [4 per cell]
Sb  0.2263  0.0410  0.9463 [4 per cell]
S  0.0165  0.6517  0.4397 [4 per cell]
S  0.1587  0.6659  0.7996 [4 per cell]
S  0.1615  0.0619  0.8084 [4 per cell]
S  0.4279  0.6512  0.4423 [4 per cell]
Br  0.0572  0.6273  0.1331 [4 per cell]
Br  0.3391  0.5562  0.6636 [4 per cell]
Br  0.3438  0.1738  0.6714 [4 per cell]
Br  0.4194  0.1288  0.3622 [4 per cell]



VASP calculation (PBE) on a geometry-optimized LaY2Si structure.

## Properties
Formation energy without anion corrections ... -0.032 eV per atom
Spin magnetization ... 0.02 μB/cell

Cell: 7.5422 7.5422 7.5422 Å, 90.00 90.00 90.00°
Space group F-43m (No. 216)
Asymmetric unit:
La  0.0000  0.0000  0.0000 [4 per cell]
Y  0.0000  0.0000  0.5000 [4 per cell]
Y  0.2500  0.2500  0.7500 [4 per cell]
Si  0.2500  0.2500  0.2500 [4 per cell]



VASP calculation (PBE) on a geometry-optimized TbSmIN structure.

## Properties
Formation energy without anion corrections ... -1.212 eV per atom
Spin magnetization ... 0.00 μB/cell

Cell: 3.7274 3.7274 22.3651 Å, 90.00 90.00 120.00°
Space group R3m (No. 160, hexagonal axes)
Asymmetric unit:
Tb  0.0000  0.0000  0.0000 [3 per cell]
Sm  0.0000  0.0000  0.2195 [3 per cell]
I  0.0000  0.0000  0.4420 [3 per cell]
N  0.0000  0.0000  0.6178 [3 per cell]



VASP calculation (PBE) on a geometry-optimized TaAl5 structure.

## Properties
ΔE to the lowest computed polymorph ... 93 meV per atom
Spin magnetization ... 0.00 μB/cell

Cell: 7.2826 7.2826 7.2826 Å, 90.00 90.00 90.00°
Space group F-43m (No. 216)
Asymmetric unit:
Ta  0.0000  0.0000  0.0000 [4 per cell]
Al  0.1249  0.1249  0.3751 [16 per cell]
Al  0.2500  0.2500  0.7500 [4 per cell]



VASP calculation (PBE) on a geometry-optimized Be2HgP structure.

## Properties
ΔE to the lowest computed polymorph ... 313 meV per atom
Spin magnetization ... 0.00 μB/cell

Cell: 3.4490 7.1368 6.0794 Å, 90.00 90.00 90.00°
Space group Cmmm (No. 65)
Asymmetric unit:
Be  0.0000  0.0000  0.1917 [4 per cell]
Hg  0.0000  0.5000  0.5000 [2 per cell]
P  0.0000  0.5000  0.0000 [2 per cell]



VASP calculation (PBE) on a geometry-optimized Sr2TlTc structure.

## Properties
ΔE to the lowest computed polymorph ... 369 meV per atom
Spin magnetization ... 1.00 μB/cell

Cell: 8.8276 8.8276 6.1233 Å, 90.00 90.00 90.00°
Space group I-42d (No. 122)
Asymmetric unit:
Sr  0.1992  0.2500  0.1250 [8 per cell]
Tl  0.0000  0.0000  0.5000 [4 per cell]
Tc  0.0000  0.0000  0.0000 [4 per cell]